[1]
# ZrGaPtW2

Crystalline ZrGaPtW2 at its relaxed geometry (PBE, Alexandria).

Unit cell a=4.8498 b=5.0566 c=4.8498 alpha=90.00 beta=90.00 gamma=90.00
With the nearest neighbours (Å) after each atom.
Fractional coordinates of all 5 atoms:
Zr (0.0000, 0.5000, 0.0000)  2 Pt 2.53
Ga (0.5000, 0.5000, 0.5000)  4 Zr 3.43, 8 W 3.50
W (0.0000, 0.0000, 0.5000)  2 Pt 2.42
W (0.5000, 0.0000, 0.0000)  2 Pt 2.42
Pt (0.0000, 0.0000, 0.0000)  4 W 2.42, 2 Zr 2.53

* energy of formation from the pure elements: 1.38 eV/atom
* space-group type: No. 123


[2]
# CoTc2Ru

Crystalline CoTc2Ru at its relaxed geometry (PBE, Alexandria).

Unit cell a=8.7934 b=8.7934 c=8.7934 alpha=17.57 beta=17.57 gamma=17.57
With the nearest neighbours (Å) after each atom.
Fractional coordinates of all 4 atoms:
Tc (0.9970, 0.9970, 0.9970)  3 Co 2.60, 6 Tc 2.69, 3 Ru 2.73
Co (0.2500, 0.2500, 0.2500)  6 Tc 2.60, 6 Co 2.69
Ru (0.7500, 0.7500, 0.7500)  6 Ru 2.69, 6 Tc 2.73
Tc (0.5030, 0.5030, 0.5030)  3 Co 2.60, 6 Tc 2.69, 3 Ru 2.73

* polymorph energy (0 for the lowest one): 174 meV/atom
* energy of formation from the pure elements: 0.14 eV/atom
* space-group type: No. 166


[3]
# La4CoIr2

Crystalline La4CoIr2 at its relaxed geometry (PBE, Alexandria).

Unit cell a=5.0816 b=5.0816 c=8.2549 alpha=72.07 beta=72.07 gamma=90.00
With the nearest neighbours (Å) after each atom.
Fractional coordinates of all 7 atoms:
Ir (0.3649, 0.3649, 0.2702)  1 La 2.54
La (0.0000, 0.5000, 0.0000)  2 Co 2.54
La (0.8062, 0.8062, 0.3876)  1 Ir 2.54
La (0.5000, 0.0000, 0.0000)  2 Co 2.54
Co (0.0000, 0.0000, 0.0000)  4 La 2.54
La (0.1938, 0.1938, 0.6124)  1 Ir 2.54
Ir (0.6351, 0.6351, 0.7298)  1 La 2.54

* energy of formation from the pure elements: -0.27 eV/atom
* space-group type: No. 139


[4]
# Be2VNi3

Crystalline Be2VNi3 at its relaxed geometry (PBE, Alexandria).

Unit cell a=2.5578 b=2.5578 c=9.0619 alpha=90.00 beta=90.00 gamma=90.00
With the nearest neighbours (Å) after each atom.
Fractional coordinates of all 6 atoms:
Be (0.5000, 0.5000, 0.1499)  8 Ni 2.25-2.26
V (0.5000, 0.5000, 0.5000)  4 V 2.56, 8 Ni 2.58
Ni (0.0000, 0.0000, 0.2968)  4 Be 2.25
Be (0.5000, 0.5000, 0.8501)  8 Ni 2.25-2.26
Ni (0.0000, 0.0000, 0.0000)  8 Be 2.26
Ni (0.0000, 0.0000, 0.7032)  4 Be 2.25

* energy of formation from the pure elements: -0.39 eV/atom
* space-group type: No. 123


Calculated calculated density (Mg/m³), listed in the same order as above: 10.1 10.9 8.6 6.9
Calculated density of states at the Fermi level (states/eV/cell), listed in the same order as above: 5.87 5.13 6.48 2.57